! La3NdNi (PBE, relaxed); values from VASP
&SYSTEM
  ibrav = 0, nat = 5, ntyp = 3
/
ATOMIC_SPECIES
Ni 58.69 Ni.upf
Nd 144.24 Nd.upf
La 138.91 La.upf
ATOMIC_POSITIONS crystal
Ni 0.0000 0.0000 0.0000
Nd 0.5000 0.5000 0.5000
La 0.0000 0.5000 0.0000
La 0.0000 0.0000 0.5000
La 0.5000 0.0000 0.0000
CELL_PARAMETERS angstrom
-1.3473 3.9716 -3.6710
-3.8979 1.9095 3.4965
3.7492 3.4125 2.3159
! - Crystal system: cubic


! LaNdNi4 (PBE, relaxed); values from VASP
&SYSTEM
  ibrav = 0, nat = 6, ntyp = 3
/
ATOMIC_SPECIES
Ni 58.69 Ni.upf
Nd 144.24 Nd.upf
La 138.91 La.upf
ATOMIC_POSITIONS crystal
Ni 0.6251 0.6251 0.1246
Ni 0.6251 0.1246 0.6251
Ni 0.6251 0.6251 0.6251
Ni 0.1246 0.6251 0.6251
Nd 0.0000 0.0000 0.0000
La 0.2500 0.2500 0.2500
CELL_PARAMETERS angstrom
-0.6100 4.6209 2.2918
-0.1750 0.3265 5.1807
3.9480 2.1500 2.6014
! - Crystal system: cubic


! LaNd3Ni8 (PBE, relaxed); values from VASP
&SYSTEM
  ibrav = 0, nat = 12, ntyp = 3
/
ATOMIC_SPECIES
La 138.91 La.upf
Nd 144.24 Nd.upf
Ni 58.69 Ni.upf
ATOMIC_POSITIONS crystal
La 0.8748 0.8748 0.3756
Nd 0.3752 0.3752 0.8745
Nd 0.0000 0.0000 0.0000
Nd 0.5000 0.5000 0.5001
Ni 0.9384 0.4378 0.1861
Ni 0.4360 0.9376 0.6889
Ni 0.4378 0.4378 0.1861
Ni 0.9376 0.9376 0.6889
Ni 0.1874 0.1874 0.4378
Ni 0.6875 0.6875 0.9374
Ni 0.4378 0.9384 0.1861
Ni 0.9376 0.4360 0.6889
CELL_PARAMETERS angstrom
-4.3003 -2.8491 0.4868
0.2635 -4.7639 2.0205
-2.5985 0.6757 8.5755
! - Crystal system: trigonal


! LaNdNi (PBE, relaxed); values from VASP
&SYSTEM
  ibrav = 0, nat = 6, ntyp = 3
/
ATOMIC_SPECIES
La 138.91 La.upf
Nd 144.24 Nd.upf
Ni 58.69 Ni.upf
ATOMIC_POSITIONS crystal
La 0.5563 0.1201 0.8807
La 0.3214 0.9836 0.4081
Nd 0.3043 0.4660 0.3769
Nd 0.5736 0.6377 0.9119
Ni 0.9569 0.3545 0.6818
Ni 0.9210 0.7497 0.6071
CELL_PARAMETERS angstrom
3.5677 0.0048 0.0005
-0.0195 7.1391 0.4248
-1.7813 -1.4849 6.3538
! - Crystal system: triclinic


Energy relative to the elements per entry: -0.7; -30.2; -30.1; -14.3 kJ per mole of atoms
Magnetization per entry: 0.00; 0.00; 0.00; 0.00 μB per formula unit
N(E_F) per entry: 11.4; 4.5; 8.5; 7.3 states/eV per cell